Entry 1:
A relaxed structure of LaTl3Pd, computed with GGA-PBE.

```
5
Lattice="5.289 0.000 0.000 0.000 5.289 0.000 0.000 0.000 5.289" Properties=species:S:1:pos:R:3 pbc="T T T"
La 0.000 0.000 0.000
Tl 0.000 2.645 2.645
Tl 2.645 0.000 2.645
Tl 2.645 2.645 0.000
Pd 2.645 2.645 2.645
```

Output
- Relative energy among the computed polymorphs: 0.000 eV/atom

---

Entry 2:
A relaxed structure of Dy4NpRu4, computed with GGA-PBE.

```
18
Lattice="8.528 0.000 0.000 0.000 8.528 0.000 0.000 0.000 5.748" Properties=species:S:1:pos:R:3 pbc="T T T"
Dy 0.467 5.795 0.795
Dy 1.531 8.061 3.670
Dy 2.733 4.731 3.670
Dy 3.797 6.997 0.795
Dy 4.731 1.531 4.953
Dy 5.795 3.797 2.079
Dy 6.997 0.467 2.079
Dy 8.061 2.733 4.953
Np 2.132 2.132 1.437
Np 6.396 6.396 4.311
Ru 0.102 3.134 2.095
Ru 1.130 0.102 0.779
Ru 3.134 4.162 0.779
Ru 4.162 1.130 2.095
Ru 4.366 7.398 3.653
Ru 5.394 4.366 4.970
Ru 7.398 8.426 4.970
Ru 8.426 5.394 3.653
```

---

Entry 3:
A relaxed structure of MnNi4As2, computed with GGA-PBE.

```
28
Lattice="15.185 0.000 0.000 0.000 3.840 0.000 0.000 0.000 6.117" Properties=species:S:1:pos:R:3 pbc="T T T"
Mn 2.269 0.960 0.702
Mn 5.324 2.880 3.760
Mn 9.862 0.960 2.356
Mn 12.916 2.880 5.415
Ni 0.747 2.880 5.194
Ni 0.909 0.960 3.005
Ni 2.674 2.880 2.787
Ni 3.308 2.880 5.440
Ni 4.284 0.960 2.382
Ni 4.918 0.960 5.845
Ni 6.684 2.880 6.063
Ni 6.846 0.960 2.135
Ni 8.340 2.880 3.981
Ni 8.502 0.960 0.054
Ni 10.267 2.880 0.271
Ni 10.901 2.880 3.735
Ni 11.877 0.960 0.677
Ni 12.511 0.960 3.330
Ni 14.276 2.880 3.112
Ni 14.438 0.960 0.923
As 0.720 2.880 1.427
As 2.876 0.960 4.251
As 4.717 2.880 1.193
As 6.872 0.960 4.486
As 8.313 2.880 1.631
As 10.469 0.960 4.924
As 12.309 2.880 1.865
As 14.465 0.960 4.689
```

---

DFT formation energy (computed, eV/f.u.): -0.4; -1.8; -1.3